A relaxed BeHgAs2 crystal, computed with PBE-GGA.

a b c (Å): 2.846 2.846 9.366
angles (deg): 90.00 90.00 90.00
Sites, in units of the cell vectors:
Be  0.000  0.000  0.489
As  0.000  0.000  0.989
As  0.500  0.500  0.321
Hg  0.500  0.500  0.701

- DOS(E_F) (states/eV per cell) = 1.87
- raw total energy (eV/atom) = -2.87
- calculated volume (A^3/atom) = 19.0
- space-group type = P4mm
- excess energy over the best structure of this formula in the dataset (meV/atom) = 313
- total moment (Bohr magnetons per cell) = 0.0
- energy of formation (eV per atom) = 0.465